Entry 1:
Computed, not measured: a relaxed GdYMgTi crystal at the GGA-PBE level of DFT.

The structure belongs to space group F-43m (No. 216); the cell edges are 7.456, 7.456 and 7.456 Å and the angles 90.00°, 90.00° and 90.00°. Symmetry generates all atoms from Gd at (0.000, 0.000, 0.000), Y at (0.000, 0.000, 0.500), Mg at (0.250, 0.250, 0.250) and Ti at (0.250, 0.250, 0.750).

Its theoretical density is 5.102 g/cm³. The density of states at the Fermi level is 27.5 states/eV/cell. The calculation puts the energy relative to the elements at 0.1386 eV per atom.


Entry 2:
Computed, not measured: a relaxed Na2SrGaO4 crystal at the GGA-PBE level of DFT.

The structure belongs to space group I-42m (No. 121); the cell edges are 5.754, 5.754 and 7.104 Å and the angles 90.00°, 90.00° and 90.00°. Symmetry generates all atoms from Na at (0.000, 0.500, 0.250), Sr at (0.000, 0.000, 0.000), Ga at (0.000, 0.000, 0.500) and O at (0.202, 0.202, 0.628).

Its theoretical density is 3.775 g/cm³. The density of states at the Fermi level is 16.1 states/eV/cell. The value obtained for the uncorrected formation energy is -1.73 eV per atom.


Entry 3:
Computed, not measured: a relaxed InTeAu crystal at the GGA-PBE level of DFT.

The structure belongs to space group P-1 (No. 2); the cell edges are 4.391, 5.807 and 7.350 Å and the angles 82.36°, 74.45° and 87.90°. Symmetry generates all atoms from In at (0.090, 0.012, 0.269), Te at (0.354, 0.283, 0.834) and Au at (0.227, 0.641, 0.559).

Its theoretical density is 8.154 g/cm³. The density of states at the Fermi level is 0.6 states/eV/cell. The value obtained for the uncorrected formation energy is -0.12 eV per atom.